! Ti4PdPt2 | Alexandria | GGA-PBE | optimized geometry; values from VASP
! formation energy from the elements = -0.25 eV per atom
! ΔE to the lowest computed polymorph = 22.8 kJ/mol of atoms
! final energy = -7.227 eV per atom
! calculated volume = 247.63 Å³/cell
&SYSTEM
  ibrav = 0, nat = 14, ntyp = 3
/
ATOMIC_SPECIES
Ti 47.87 Ti.upf
Pd 106.42 Pd.upf
Pt 195.08 Pt.upf
ATOMIC_POSITIONS crystal
Ti 0.000 0.500 0.000
Ti 0.000 0.500 0.250
Ti 0.000 0.500 0.500
Ti 0.000 0.500 0.750
Ti 0.500 0.000 0.000
Ti 0.500 0.000 0.250
Ti 0.500 0.000 0.500
Ti 0.500 0.000 0.750
Pd 0.000 0.000 0.000
Pd 0.500 0.500 0.500
Pt 0.000 0.000 0.365
Pt 0.000 0.000 0.635
Pt 0.500 0.500 0.135
Pt 0.500 0.500 0.865
CELL_PARAMETERS angstrom
4.820 0.000 0.000
0.000 4.820 0.000
0.000 0.000 10.658

! Ti4PdPt2 | Alexandria | GGA-PBE | optimized geometry; values from VASP
! formation energy from the elements = -0.48 eV per atom
! ΔE to the lowest computed polymorph = 0.0 kJ/mol of atoms
! final energy = -7.463 eV per atom
! calculated volume = 239.33 Å³/cell
&SYSTEM
  ibrav = 0, nat = 14, ntyp = 3
/
ATOMIC_SPECIES
Ti 47.87 Ti.upf
Pd 106.42 Pd.upf
Pt 195.08 Pt.upf
ATOMIC_POSITIONS crystal
Ti 0.131 0.734 0.743
Ti 0.139 0.242 0.757
Ti 0.266 0.008 0.397
Ti 0.484 0.381 0.243
Ti 0.611 0.869 0.603
Ti 0.619 0.861 0.103
Ti 0.758 0.516 0.897
Ti 0.992 0.389 0.257
Pd 0.000 0.000 0.000
Pd 0.750 0.250 0.500
Pt 0.227 0.625 0.102
Pt 0.375 0.477 0.602
Pt 0.523 0.125 0.898
Pt 0.875 0.773 0.398
CELL_PARAMETERS angstrom
-3.908 3.908 3.917
3.908 -3.908 3.917
3.908 3.908 -3.917

! Ti5PdPt8 | Alexandria | GGA-PBE | optimized geometry; values from VASP
! formation energy from the elements = -0.65 eV per atom
! final energy = -7.295 eV per atom
! calculated volume = 232.10 Å³/cell
&SYSTEM
  ibrav = 0, nat = 14, ntyp = 3
/
ATOMIC_SPECIES
Ti 47.87 Ti.upf
Pd 106.42 Pd.upf
Pt 195.08 Pt.upf
ATOMIC_POSITIONS crystal
Ti 0.000 0.000 0.000
Ti 0.192 0.266 0.659
Ti 0.467 0.808 0.074
Ti 0.607 0.533 0.341
Ti 0.734 0.393 0.926
Pd 0.250 0.750 0.500
Pt 0.159 0.430 0.060
Pt 0.370 0.100 0.940
Pt 0.418 0.151 0.403
Pt 0.570 0.630 0.729
Pt 0.748 0.015 0.597
Pt 0.849 0.252 0.267
Pt 0.900 0.841 0.271
Pt 0.985 0.582 0.733
CELL_PARAMETERS angstrom
-3.905 3.905 3.805
3.905 -3.905 3.805
3.905 3.905 -3.805

! Ti5Pd4Pt | Alexandria | GGA-PBE | optimized geometry; values from VASP
! formation energy from the elements = -0.34 eV per atom
! ΔE to the lowest computed polymorph = 24.7 kJ/mol of atoms
! final energy = -6.967 eV per atom
! calculated volume = 174.91 Å³/cell
&SYSTEM
  ibrav = 0, nat = 10, ntyp = 3
/
ATOMIC_SPECIES
Ti 47.87 Ti.upf
Pd 106.42 Pd.upf
Pt 195.08 Pt.upf
ATOMIC_POSITIONS crystal
Ti 0.000 0.000 0.000
Ti 0.239 0.365 0.600
Ti 0.365 0.765 0.126
Ti 0.638 0.239 0.874
Ti 0.765 0.638 0.400
Pd 0.081 0.646 0.723
Pd 0.357 0.081 0.434
Pd 0.646 0.923 0.566
Pd 0.923 0.357 0.277
Pt 0.500 0.500 0.000
CELL_PARAMETERS angstrom
-4.198 4.198 2.481
4.198 -4.198 2.481
4.198 4.198 -2.481

! Ti6PdPt | Alexandria | GGA-PBE | optimized geometry; values from VASP
! formation energy from the elements = -0.50 eV per atom
! ΔE to the lowest computed polymorph = 0.0 kJ/mol of atoms
! final energy = -7.821 eV per atom
! calculated volume = 128.57 Å³/cell
&SYSTEM
  ibrav = 0, nat = 8, ntyp = 3
/
ATOMIC_SPECIES
Ti 47.87 Ti.upf
Pd 106.42 Pd.upf
Pt 195.08 Pt.upf
ATOMIC_POSITIONS crystal
Ti 0.000 0.248 0.500
Ti 0.000 0.752 0.500
Ti 0.248 0.500 0.000
Ti 0.500 0.000 0.248
Ti 0.500 0.000 0.752
Ti 0.752 0.500 0.000
Pd 0.500 0.500 0.500
Pt 0.000 0.000 0.000
CELL_PARAMETERS angstrom
5.047 0.000 0.000
0.000 5.047 0.000
0.000 0.000 5.047

! TiPd8Pt2 | Alexandria | GGA-PBE | optimized geometry; values from VASP
! formation energy from the elements = 0.08 eV per atom
! ΔE to the lowest computed polymorph = 19.7 kJ/mol of atoms
! final energy = -5.516 eV per atom
! calculated volume = 196.70 Å³/cell
&SYSTEM
  ibrav = 0, nat = 11, ntyp = 3
/
ATOMIC_SPECIES
Ti 47.87 Ti.upf
Pd 106.42 Pd.upf
Pt 195.08 Pt.upf
ATOMIC_POSITIONS crystal
Ti 0.000 0.000 0.000
Pd 0.160 0.673 0.196
Pd 0.271 0.271 0.111
Pd 0.327 0.840 0.804
Pd 0.422 0.422 0.704
Pd 0.578 0.578 0.296
Pd 0.673 0.160 0.196
Pd 0.729 0.729 0.889
Pd 0.840 0.327 0.804
Pt 0.143 0.143 0.527
Pt 0.857 0.857 0.473
CELL_PARAMETERS angstrom
4.958 -4.400 0.000
4.958 4.400 0.000
-1.337 0.000 4.508

! TiPd8Pt6 | Alexandria | GGA-PBE | optimized geometry; values from VASP
! formation energy from the elements = -0.14 eV per atom
! ΔE to the lowest computed polymorph = 0.0 kJ/mol of atoms
! final energy = -5.854 eV per atom
! calculated volume = 236.97 Å³/cell
&SYSTEM
  ibrav = 0, nat = 15, ntyp = 3
/
ATOMIC_SPECIES
Ti 47.87 Ti.upf
Pd 106.42 Pd.upf
Pt 195.08 Pt.upf
ATOMIC_POSITIONS crystal
Ti 0.000 0.000 0.000
Pd 0.118 0.664 0.815
Pd 0.185 0.882 0.336
Pd 0.336 0.185 0.882
Pd 0.421 0.421 0.421
Pd 0.579 0.579 0.579
Pd 0.664 0.815 0.118
Pd 0.815 0.118 0.664
Pd 0.882 0.336 0.185
Pt 0.057 0.556 0.271
Pt 0.271 0.057 0.556
Pt 0.444 0.729 0.943
Pt 0.556 0.271 0.057
Pt 0.729 0.943 0.444
Pt 0.943 0.444 0.729
CELL_PARAMETERS angstrom
3.493 2.017 5.605
-3.493 2.017 5.605
0.000 -4.034 5.605

! TmTiPdPt | Alexandria | GGA-PBE | optimized geometry; values from VASP
! formation energy from the elements = -0.81 eV per atom
! final energy = -6.712 eV per atom
! calculated volume = 291.71 Å³/cell
&SYSTEM
  ibrav = 0, nat = 16, ntyp = 4
/
ATOMIC_SPECIES
Tm 168.93 Tm.upf
Ti 47.87 Ti.upf
Pd 106.42 Pd.upf
Pt 195.08 Pt.upf
ATOMIC_POSITIONS crystal
Tm 0.000 0.000 0.000
Tm 0.000 0.500 0.500
Tm 0.500 0.000 0.500
Tm 0.500 0.500 0.000
Ti 0.000 0.000 0.500
Ti 0.000 0.500 0.000
Ti 0.500 0.000 0.000
Ti 0.500 0.500 0.500
Pd 0.250 0.250 0.750
Pd 0.250 0.750 0.250
Pd 0.750 0.250 0.250
Pd 0.750 0.750 0.750
Pt 0.250 0.250 0.250
Pt 0.250 0.750 0.750
Pt 0.750 0.250 0.750
Pt 0.750 0.750 0.250
CELL_PARAMETERS angstrom
6.632 0.000 0.000
0.000 6.632 0.000
0.000 0.000 6.632

! TiVPd2Pt | Alexandria | GGA-PBE | optimized geometry; values from VASP
! formation energy from the elements = 1.06 eV per atom
! final energy = -5.629 eV per atom
! calculated volume = 109.81 Å³/cell
&SYSTEM
  ibrav = 0, nat = 5, ntyp = 4
/
ATOMIC_SPECIES
Ti 47.87 Ti.upf
V 50.94 V.upf
Pd 106.42 Pd.upf
Pt 195.08 Pt.upf
ATOMIC_POSITIONS crystal
Ti 0.000 0.000 0.000
V 0.500 0.500 0.000
Pd 0.000 0.500 0.500
Pd 0.500 0.000 0.500
Pt 0.000 0.000 0.500
CELL_PARAMETERS angstrom
4.948 0.000 0.000
0.000 4.948 0.000
0.000 0.000 4.486

! Ti2VPdPt5 | Alexandria | GGA-PBE | optimized geometry; values from VASP
! formation energy from the elements = -0.23 eV per atom
! final energy = -6.929 eV per atom
! calculated volume = 297.92 Å³/cell
&SYSTEM
  ibrav = 0, nat = 18, ntyp = 4
/
ATOMIC_SPECIES
Ti 47.87 Ti.upf
V 50.94 V.upf
Pd 106.42 Pd.upf
Pt 195.08 Pt.upf
ATOMIC_POSITIONS crystal
Ti 0.111 0.611 0.722
Ti 0.389 0.111 0.500
Ti 0.611 0.889 0.500
Ti 0.889 0.389 0.278
V 0.250 0.250 0.000
V 0.750 0.750 0.000
Pd 0.250 0.750 0.500
Pd 0.750 0.250 0.500
Pt 0.000 0.000 0.000
Pt 0.080 0.155 0.500
Pt 0.155 0.655 0.075
Pt 0.345 0.420 0.500
Pt 0.420 0.920 0.075
Pt 0.500 0.500 0.000
Pt 0.580 0.080 0.925
Pt 0.655 0.580 0.500
Pt 0.845 0.345 0.925
Pt 0.920 0.845 0.500
CELL_PARAMETERS angstrom
-3.700 3.700 5.441
3.700 -3.700 5.441
3.700 3.700 -5.441

! TiZnPdPt | Alexandria | GGA-PBE | optimized geometry; values from VASP
! formation energy from the elements = -0.73 eV per atom
! final energy = -5.830 eV per atom
! calculated volume = 119.65 Å³/cell
&SYSTEM
  ibrav = 0, nat = 8, ntyp = 4
/
ATOMIC_SPECIES
Ti 47.87 Ti.upf
Zn 65.41 Zn.upf
Pd 106.42 Pd.upf
Pt 195.08 Pt.upf
ATOMIC_POSITIONS crystal
Ti 0.000 0.000 0.000
Ti 0.500 0.500 0.500
Zn 0.000 0.000 0.500
Zn 0.500 0.500 0.000
Pd 0.000 0.500 0.250
Pd 0.500 0.000 0.750
Pt 0.000 0.500 0.750
Pt 0.500 0.000 0.250
CELL_PARAMETERS angstrom
4.002 0.000 0.000
0.000 4.002 0.000
0.000 0.000 7.471

! Tl4PdPt | Alexandria | GGA-PBE | optimized geometry; values from VASP
! formation energy from the elements = -0.10 eV per atom
! final energy = -3.548 eV per atom
! calculated volume = 277.94 Å³/cell
&SYSTEM
  ibrav = 0, nat = 12, ntyp = 3
/
ATOMIC_SPECIES
Tl 204.38 Tl.upf
Pd 106.42 Pd.upf
Pt 195.08 Pt.upf
ATOMIC_POSITIONS crystal
Tl 0.162 0.338 0.250
Tl 0.162 0.662 0.750
Tl 0.338 0.162 0.750
Tl 0.338 0.838 0.250
Tl 0.662 0.162 0.250
Tl 0.662 0.838 0.750
Tl 0.838 0.338 0.750
Tl 0.838 0.662 0.250
Pd 0.000 0.000 0.500
Pd 0.500 0.500 0.000
Pt 0.000 0.000 0.000
Pt 0.500 0.500 0.500
CELL_PARAMETERS angstrom
6.969 0.000 0.000
0.000 6.969 0.000
0.000 0.000 5.722

- Number 3 is which compound?
  Ti5PdPt8

- The highest final energy belongs to which entry?
  Tl4PdPt

- The lowest formation energy from the elements belongs to which entry?
  TmTiPdPt

- Which formula does entry 6 have?
  TiPd8Pt2